No. 1
Below is crystalline SnTeBr at its relaxed geometry, with properties calculated at the PBE level.

The value obtained for the uncorrected formation energy is -375.4 meV per atom. The calculated total energy comes out at -3.314 eV/atom.

a = 4.2856 Å, b = 4.2861 Å, c = 13.3961 Å
α = 91.85°, β = 97.45°, γ = 119.29°
With the nearest neighbours (Å) after each atom.
Space group P-1 (No. 2)
Inequivalent atoms, fractional coordinates:
Sn: 0.0456 0.1811 0.2288  3 Te 2.95-3.05, 3 Br 2.97-3.29
Te: 0.2934 0.8050 0.0990  3 Sn 2.95-3.05
Br: 0.2445 0.3925 0.6344  3 Sn 2.97-3.29

***

No. 2
Below is crystalline SnTeBr3 at its relaxed geometry, with properties calculated at the PBE level.

The value obtained for the uncorrected formation energy is -108.7 meV per atom. The calculated total energy comes out at -2.541 eV/atom.

a = 5.7305 Å, b = 5.7305 Å, c = 5.7305 Å
α = 90.00°, β = 90.00°, γ = 90.00°
With the nearest neighbours (Å) after each atom.
Space group Pm-3m (No. 221)
Inequivalent atoms, fractional coordinates:
Sn: 0.0000 0.0000 0.0000  6 Br 2.87
Te: 0.5000 0.5000 0.5000  12 Br 4.05
Br: 0.0000 0.0000 0.5000  2 Sn 2.87

***

No. 3
Below is crystalline SnTeBr2 at its relaxed geometry, with properties calculated at the PBE level.

The value obtained for the uncorrected formation energy is -121.1 meV per atom. The calculated total energy comes out at -2.744 eV/atom.

a = 10.4089 Å, b = 10.4089 Å, c = 5.9403 Å
α = 90.00°, β = 90.00°, γ = 90.00°
With the nearest neighbours (Å) after each atom.
Space group I-42d (No. 122)
Inequivalent atoms, fractional coordinates:
Sn: 0.0000 0.0000 0.0000  4 Br 2.93, 2 Te 2.97
Te: 0.0000 0.0000 0.5000  2 Sn 2.97
Br: 0.1080 0.2500 0.1250  2 Sn 2.93